# NdTm2Mg5 (GGA-PBE, relaxed)
data_NdTm2Mg5
_space_group_name_H-M_alt 'I 4/m m m'
_space_group_IT_number 139
_space_group_name_Hall '-I 4 2'
_cell_length_a 5.254
_cell_length_b 5.254
_cell_length_c 15.139
_cell_angle_alpha 90.00
_cell_angle_beta 90.00
_cell_angle_gamma 90.00
loop_
_atom_site_label
_atom_site_fract_x
_atom_site_fract_y
_atom_site_fract_z
Nd1 0.000 0.000 0.000
Tm1 0.000 0.000 0.257
Mg1 0.000 0.000 0.500
Mg2 0.000 0.500 0.123
# Energy relative to the elements   -0.075 eV per atom
# Fermi-level density of states   0.680 states/eV/atom
# Final energy   -2.786 eV/atom